# BiSe2Cl8 | Alexandria | PBE-GGA | relaxed
# E_tot (eV for the cell shown): -59.65
# D(E_F) (states/eV per atom): 0.460
# Formation energy without anion corrections (eV per atom): -0.3819
data_BiSe2Cl8
_cell_length_a 13.111
_cell_length_b 8.672
_cell_length_c 7.434
_cell_angle_alpha 90.00
_cell_angle_beta 111.09
_cell_angle_gamma 90.00
_space_group_name_H-M_alt 'C 1 2/m 1'
_space_group_IT_number 12
loop_
_space_group_symop_operation_xyz
'x,y,z'
'-x,-y,-z'
'-x,y,-z'
'x,-y,z'
'x+1/2,y+1/2,z'
'-x+1/2,-y+1/2,-z'
'-x+1/2,y+1/2,-z'
'x+1/2,-y+1/2,z'
loop_
_atom_site_label
_atom_site_fract_x
_atom_site_fract_y
_atom_site_fract_z
Bi1 0.000 0.000 0.000
Se1 0.157 0.000 0.560
Cl1 0.057 0.203 0.782
Cl2 0.186 0.500 0.216
Cl3 0.216 0.000 0.304


# Bi2SeCl2 | Alexandria | PBE-GGA | relaxed
# E_tot (eV for the cell shown): -72.32
# Formation energy without anion corrections (eV per atom): -0.6279
data_Bi2SeCl2
_cell_length_a 17.369
_cell_length_b 4.346
_cell_length_c 8.707
_cell_angle_alpha 90.00
_cell_angle_beta 103.69
_cell_angle_gamma 90.00
_space_group_name_H-M_alt 'C 1 2/m 1'
_space_group_IT_number 12
loop_
_space_group_symop_operation_xyz
'x,y,z'
'-x,-y,-z'
'-x,y,-z'
'x,-y,z'
'x+1/2,y+1/2,z'
'-x+1/2,-y+1/2,-z'
'-x+1/2,y+1/2,-z'
'x+1/2,-y+1/2,z'
loop_
_atom_site_label
_atom_site_fract_x
_atom_site_fract_y
_atom_site_fract_z
Bi1 0.127 0.000 0.459
Bi2 0.184 0.500 0.945
Se1 0.216 0.500 0.642
Cl1 0.049 0.000 0.698
Cl2 0.110 0.500 0.224


# BiSe3Cl | Alexandria | PBE-GGA | relaxed
# E_tot (eV for the cell shown): -13.14
# D(E_F) (states/eV per atom): 0.769
# Formation energy without anion corrections (eV per atom): 0.6075
data_BiSe3Cl
_cell_length_a 5.024
_cell_length_b 5.024
_cell_length_c 5.024
_cell_angle_alpha 90.00
_cell_angle_beta 90.00
_cell_angle_gamma 90.00
_space_group_name_H-M_alt 'P m -3 m'
_space_group_IT_number 221
_space_group_name_Hall '-P 4 2 3'
loop_
_atom_site_label
_atom_site_fract_x
_atom_site_fract_y
_atom_site_fract_z
Bi1 0.000 0.000 0.000
Se1 0.000 0.500 0.500
Cl1 0.500 0.500 0.500


# BiSeCl2 | Alexandria | PBE-GGA | relaxed
# E_tot (eV for the cell shown): -31.89
# D(E_F) (states/eV per atom): 0.746
# Formation energy without anion corrections (eV per atom): 0.1070
data_BiSeCl2
_cell_length_a 3.4432
_cell_length_b 3.4432
_cell_length_c 30.6930
_cell_angle_alpha 90.00
_cell_angle_beta 90.00
_cell_angle_gamma 120.00
_space_group_name_H-M_alt 'R -3 m'
_space_group_IT_number 166
_space_group_name_Hall '-R 3 2"'
loop_
_atom_site_label
_atom_site_fract_x
_atom_site_fract_y
_atom_site_fract_z
Bi1 0.0000 0.0000 0.0000
Se1 0.0000 0.0000 0.5000
Cl1 0.0000 0.0000 0.0858


# BiSeCl2 | Alexandria | PBE-GGA | relaxed
# E_tot (eV for the cell shown): -12.74
# D(E_F) (states/eV per atom): 0.197
# Formation energy without anion corrections (eV per atom): -0.4202
data_BiSeCl2
_cell_length_a 3.830
_cell_length_b 6.059
_cell_length_c 6.066
_cell_angle_alpha 72.96
_cell_angle_beta 78.25
_cell_angle_gamma 79.07
_space_group_name_H-M_alt 'P 1'
_space_group_IT_number 1
loop_
_space_group_symop_operation_xyz
'x,y,z'
loop_
_atom_site_label
_atom_site_fract_x
_atom_site_fract_y
_atom_site_fract_z
Bi1 0.000 0.000 0.000
Se1 0.508 0.292 0.709
Cl1 0.371 0.061 0.339
Cl2 0.633 0.662 0.936


# Bi2SeCl | Alexandria | PBE-GGA | relaxed
# E_tot (eV for the cell shown): -28.31
# D(E_F) (states/eV per atom): 0.135
# Formation energy without anion corrections (eV per atom): -0.2652
data_Bi2SeCl
_cell_length_a 6.312
_cell_length_b 6.317
_cell_length_c 7.595
_cell_angle_alpha 77.39
_cell_angle_beta 77.47
_cell_angle_gamma 77.47
_space_group_name_H-M_alt 'P 1'
_space_group_IT_number 1
loop_
_space_group_symop_operation_xyz
'x,y,z'
loop_
_atom_site_label
_atom_site_fract_x
_atom_site_fract_y
_atom_site_fract_z
Bi1 0.000 0.000 0.000
Bi2 0.175 0.176 0.594
Bi3 0.393 0.572 0.602
Bi4 0.603 0.782 0.992
Se1 0.689 0.487 0.297
Se2 0.748 0.427 0.797
Cl1 0.187 0.562 0.017
Cl2 0.613 0.989 0.577


# BiSeCl2 | Alexandria | PBE-GGA | relaxed
# E_tot (eV for the cell shown): -49.02
# D(E_F) (states/eV per atom): 0.565
# Formation energy without anion corrections (eV per atom): -0.2992
data_BiSeCl2
_cell_length_a 9.808
_cell_length_b 9.808
_cell_length_c 5.720
_cell_angle_alpha 90.00
_cell_angle_beta 90.00
_cell_angle_gamma 90.00
_space_group_name_H-M_alt 'I -4 2 d'
_space_group_IT_number 122
_space_group_name_Hall 'I -4 2bw'
loop_
_atom_site_label
_atom_site_fract_x
_atom_site_fract_y
_atom_site_fract_z
Bi1 0.000 0.000 0.000
Se1 0.000 0.000 0.500
Cl1 0.113 0.250 0.125


# Bi2SeCl2 | Alexandria | PBE-GGA | relaxed
# E_tot (eV for the cell shown): -33.01
# D(E_F) (states/eV per atom): 0.341
# Formation energy without anion corrections (eV per atom): -0.3135
data_Bi2SeCl2
_cell_length_a 7.595
_cell_length_b 7.595
_cell_length_c 4.779
_cell_angle_alpha 90.00
_cell_angle_beta 90.00
_cell_angle_gamma 90.00
_space_group_name_H-M_alt 'P 4/m b m'
_space_group_IT_number 127
_space_group_name_Hall '-P 4 2ab'
loop_
_atom_site_label
_atom_site_fract_x
_atom_site_fract_y
_atom_site_fract_z
Bi1 0.151 0.349 0.000
Se1 0.000 0.000 0.000
Cl1 0.167 0.667 0.500